VASP calculation (GGA-PBE) on a geometry-optimized K2TiZn structure. Values from VASP.

total energy	-2.02	eV per atom
ΔE_f	817	meV per atom

```
&SYSTEM
  ibrav = 0, nat = 8, ntyp = 3
/
ATOMIC_SPECIES
Ti 47.87 Ti.upf
K 39.10 K.upf
Zn 65.41 Zn.upf
ATOMIC_POSITIONS crystal
Ti 0.5000 0.5000 0.0000
K 0.7632 0.1250 0.2500
Zn 0.7500 0.2500 0.5000
Ti 0.2500 0.7500 0.5000
K 0.9868 0.6250 0.2500
K 0.3750 0.2368 0.7500
K 0.8750 0.0132 0.7500
Zn 0.0000 0.0000 0.0000
CELL_PARAMETERS angstrom
11.9874 0.0000 0.0000
0.0000 11.9874 0.0000
5.9937 5.9937 2.6340
```